No. 1
A plane-wave DFT calculation with PBE-GGA was carried out for a geometry-optimized MgGa2 structure.

Unit cell a=3.0532 b=3.0532 c=14.8218 alpha=90.00 beta=90.00 gamma=120.00
Last column: nearest neighbours and their distance in Å.
Space group P-3m1 (No. 164)
One atom of each set of equivalent atoms:
Mg (0.3333, 0.6667, 0.4099) x2  3 Ga 2.98, 9 Mg 3.05-3.20
Ga (0.3333, 0.6667, 0.0865) x2  12 Ga 2.97-3.11
Ga (0.3333, 0.6667, 0.7522) x2  9 Ga 2.97-3.05, 3 Mg 2.98

Computed properties:
- Energy of formation: -1 meV/atom
- Theoretical density: 4.54 g cm⁻³
- DOS(E_F): 1.06 states/eV/f.u.
- Calculated total energy: -2.5506 eV per atom



No. 2
A plane-wave DFT calculation with PBE-GGA was carried out for a geometry-optimized InSe2SF structure.

Unit cell a=4.2793 b=4.2793 c=7.2187 alpha=90.00 beta=90.00 gamma=90.00
Last column: nearest neighbours and their distance in Å.
Space group P4/mmm (No. 123)
One atom of each set of equivalent atoms:
In (0.0000, 0.0000, 0.0000) x1  4 S 3.03
Se (0.0000, 0.5000, 0.5000) x2  2 F 2.14
S (0.5000, 0.5000, 0.0000) x1  4 In 3.03
F (0.0000, 0.0000, 0.5000) x1  4 Se 2.14

Computed properties:
- Theoretical density: 4.07 g cm⁻³
- E above lowest polymorph: 233 meV per atom
- DOS(E_F): 4.77 states/eV/f.u.
- Energy relative to the elements, uncorrected: 1.40 eV/f.u.
- Calculated total energy: -2.8618 eV per atom



What did the second record say?
A plane-wave DFT calculation with PBE-GGA was carried out for a geometry-optimized InSe2SF structure.

Unit cell a=4.2793 b=4.2793 c=7.2187 alpha=90.00 beta=90.00 gamma=90.00
Last column: nearest neighbours and their distance in Å.
Space group P4/mmm (No. 123)
One atom of each set of equivalent atoms:
In (0.0000, 0.0000, 0.0000) x1  4 S 3.03
Se (0.0000, 0.5000, 0.5000) x2  2 F 2.14
S (0.5000, 0.5000, 0.0000) x1  4 In 3.03
F (0.0000, 0.0000, 0.5000) x1  4 Se 2.14

Computed properties:
- Theoretical density: 4.07 g cm⁻³
- E above lowest polymorph: 233 meV per atom
- DOS(E_F): 4.77 states/eV/f.u.
- Energy relative to the elements, uncorrected: 1.40 eV/f.u.
- Calculated total energy: -2.8618 eV per atom



Repeat the second record exactly.
A plane-wave DFT calculation with PBE-GGA was carried out for a geometry-optimized InSe2SF structure.

Unit cell a=4.2793 b=4.2793 c=7.2187 alpha=90.00 beta=90.00 gamma=90.00
Last column: nearest neighbours and their distance in Å.
Space group P4/mmm (No. 123)
One atom of each set of equivalent atoms:
In (0.0000, 0.0000, 0.0000) x1  4 S 3.03
Se (0.0000, 0.5000, 0.5000) x2  2 F 2.14
S (0.5000, 0.5000, 0.0000) x1  4 In 3.03
F (0.0000, 0.0000, 0.5000) x1  4 Se 2.14

Computed properties:
- Theoretical density: 4.07 g cm⁻³
- E above lowest polymorph: 233 meV per atom
- DOS(E_F): 4.77 states/eV/f.u.
- Energy relative to the elements, uncorrected: 1.40 eV/f.u.
- Calculated total energy: -2.8618 eV per atom



- Which of these has the lowest theoretical density?
  InSe2SF



- Among the records above, which one has the lowest calculated total energy?
  InSe2SF